Entry 1:
This record from the Alexandria database describes a geometry-optimized PmAuBr6 structure. The functional is PBE.

Lattice parameters (Å, degrees): 5.9326 7.3659 7.9729 69.15 72.87 86.10
Space group P-1 (No. 2)
Unique sites:
Pm  0.0000  0.0000  0.0000 [1 per cell]
Au  0.5000  0.5000  0.0000 [1 per cell]
Br  0.0204  0.8065  0.3625 [2 per cell]
Br  0.2771  0.3769  0.8327 [2 per cell]
Br  0.4294  0.8361  0.8075 [2 per cell]

Values from the calculation:
The formation energy from raw total energies is -7.30 eV per formula unit. The spin magnetization comes out at 0.00 μB per atom. As for the electronic total energy: -3.17 eV/atom.

=====

Entry 2:
This record from the Alexandria database describes a geometry-optimized Pm2AuBr structure. The functional is PBE.

Lattice parameters (Å, degrees): 3.5419 3.5419 8.3634 90.00 90.00 90.00
Space group P4/mmm (No. 123)
Unique sites:
Pm  0.0000  0.0000  0.2263 [2 per cell]
Au  0.5000  0.5000  0.0000 [1 per cell]
Br  0.5000  0.5000  0.5000 [1 per cell]

Values from the calculation:
The formation energy from raw total energies is -3.47 eV per formula unit. As for the polymorph energy (0 for the lowest one): 0.378 eV per formula unit. The density of states at the Fermi level comes out at 3.4 states/eV/cell. The spin magnetization comes out at 0.00 μB per atom. As for the electronic total energy: -4.48 eV/atom.

=====

Entry 3:
This record from the Alexandria database describes a geometry-optimized Pm3AuBr structure. The functional is PBE.

Lattice parameters (Å, degrees): 3.7159 9.5865 8.6389 90.00 90.00 90.00
Space group Pmmn (No. 59, origin choice 2)
Unique sites:
Pm  0.2500  0.0569  0.1737 [4 per cell]
Pm  0.2500  0.2500  0.7022 [2 per cell]
Au  0.2500  0.7500  0.0256 [2 per cell]
Br  0.2500  0.7500  0.5953 [2 per cell]

Values from the calculation:
The formation energy from raw total energies is -3.17 eV per formula unit. The density of states at the Fermi level comes out at 10.3 states/eV/cell. The spin magnetization comes out at 0.00 μB per atom. As for the electronic total energy: -4.47 eV/atom.

=====

Q: What is the spin magnetization in the second record?
A: 0.00 μB per atom

=====

Repeat the third record exactly.
This record from the Alexandria database describes a geometry-optimized Pm3AuBr structure. The functional is PBE.

Lattice parameters (Å, degrees): 3.7159 9.5865 8.6389 90.00 90.00 90.00
Space group Pmmn (No. 59, origin choice 2)
Unique sites:
Pm  0.2500  0.0569  0.1737 [4 per cell]
Pm  0.2500  0.2500  0.7022 [2 per cell]
Au  0.2500  0.7500  0.0256 [2 per cell]
Br  0.2500  0.7500  0.5953 [2 per cell]

Values from the calculation:
The formation energy from raw total energies is -3.17 eV per formula unit. The density of states at the Fermi level comes out at 10.3 states/eV/cell. The spin magnetization comes out at 0.00 μB per atom. As for the electronic total energy: -4.47 eV/atom.

=====

Q: Which value of formation energy from raw total energies does entry 3 give?
A: -3.17 eV per formula unit